Record 1
Density functional theory data (SCAN) for a crystal of FeRh2 relaxed with PBEsol. Values from VASP.

- energy relative to the elements (eV/atom) = -0.088

```
&SYSTEM
  ibrav = 0, nat = 6, ntyp = 2
/
ATOMIC_SPECIES
Fe 55.84 Fe.upf
Rh 102.91 Rh.upf
CELL_PARAMETERS angstrom
-1.368 -2.065 -2.718
2.845 -2.390 0.384
-2.272 -1.889 5.067
ATOMIC_POSITIONS crystal
Fe 0.918 0.250 0.835
Fe 0.082 0.750 0.165
Rh 0.582 0.250 0.163
Rh 0.418 0.750 0.837
Rh 0.250 0.250 0.500
Rh 0.750 0.750 0.500
```

***

Record 2
Density functional theory data (SCAN) for a crystal of FeRh2 relaxed with PBEsol. Values from VASP.

- energy relative to the elements (eV/atom) = -0.050

```
&SYSTEM
  ibrav = 0, nat = 6, ntyp = 2
/
ATOMIC_SPECIES
Fe 55.84 Fe.upf
Rh 102.91 Rh.upf
CELL_PARAMETERS angstrom
-1.113 -1.893 1.469
1.251 -2.562 -2.354
6.581 -0.625 4.178
ATOMIC_POSITIONS crystal
Fe 0.000 0.000 0.582
Fe 0.500 0.500 0.418
Rh 0.000 0.000 0.264
Rh 0.500 0.500 0.087
Rh 0.000 0.000 0.913
Rh 0.500 0.500 0.736
```

***

Record 3
Density functional theory data (SCAN) for a crystal of FeRh2 relaxed with PBEsol. Values from VASP.

- energy relative to the elements (eV/atom) = -0.047

```
&SYSTEM
  ibrav = 0, nat = 6, ntyp = 2
/
ATOMIC_SPECIES
Fe 55.84 Fe.upf
Rh 102.91 Rh.upf
CELL_PARAMETERS angstrom
-0.008 -0.047 -2.673
-0.069 -2.672 0.047
-10.662 0.274 0.028
ATOMIC_POSITIONS crystal
Fe 0.500 0.000 0.927
Fe 0.000 0.500 0.073
Rh 0.500 0.000 0.233
Rh 0.000 0.500 0.413
Rh 0.500 0.000 0.587
Rh 0.000 0.500 0.767
```

***

Record 4
Density functional theory data (SCAN) for a crystal of FeRh2 relaxed with PBEsol. Values from VASP.

- energy relative to the elements (eV/atom) = -0.077

```
&SYSTEM
  ibrav = 0, nat = 6, ntyp = 2
/
ATOMIC_SPECIES
Fe 55.84 Fe.upf
Rh 102.91 Rh.upf
CELL_PARAMETERS angstrom
4.527 0.006 -0.001
-2.242 3.933 -0.001
-0.790 -1.361 4.288
ATOMIC_POSITIONS crystal
Fe 0.916 0.084 0.750
Fe 0.084 0.916 0.250
Rh 0.243 0.757 0.750
Rh 0.418 0.582 0.250
Rh 0.582 0.418 0.750
Rh 0.757 0.243 0.250
```

***

Record 5
Density functional theory data (SCAN) for a crystal of Fe5Rh relaxed with PBEsol. Values from VASP.

- ΔE to the lowest computed polymorph (eV/atom) = 0.117
- energy relative to the elements (eV/atom) = -0.023

```
&SYSTEM
  ibrav = 0, nat = 6, ntyp = 2
/
ATOMIC_SPECIES
Fe 55.84 Fe.upf
Rh 102.91 Rh.upf
CELL_PARAMETERS angstrom
-1.278 2.148 -0.045
-1.513 -1.977 -0.231
-1.207 -0.466 11.917
ATOMIC_POSITIONS crystal
Fe 0.000 0.000 0.676
Fe 0.500 0.500 0.838
Fe 0.000 0.000 0.000
Fe 0.500 0.500 0.162
Fe 0.000 0.000 0.324
Rh 0.500 0.500 0.500
```

***

Record 6
Density functional theory data (SCAN) for a crystal of Fe3Rh relaxed with PBEsol. Values from VASP.

- energy relative to the elements (eV/atom) = -0.128

```
&SYSTEM
  ibrav = 0, nat = 4, ntyp = 2
/
ATOMIC_SPECIES
Rh 102.91 Rh.upf
Fe 55.84 Fe.upf
CELL_PARAMETERS angstrom
2.556 0.000 0.004
0.000 4.027 0.000
-0.884 0.000 4.680
ATOMIC_POSITIONS crystal
Rh 0.000 0.500 0.500
Fe 0.734 0.000 0.759
Fe 0.266 0.000 0.241
Fe 0.500 0.500 0.000
```

***

Record 7
Density functional theory data (SCAN) for a crystal of Fe4Rh relaxed with PBEsol. Values from VASP.

- ΔE to the lowest computed polymorph (eV/atom) = 0.125
- energy relative to the elements (eV/atom) = -0.032

```
&SYSTEM
  ibrav = 0, nat = 5, ntyp = 2
/
ATOMIC_SPECIES
Rh 102.91 Rh.upf
Fe 55.84 Fe.upf
CELL_PARAMETERS angstrom
2.514 -0.001 0.000
-0.931 2.336 0.000
-0.792 -1.167 10.018
ATOMIC_POSITIONS crystal
Rh 0.500 0.500 0.000
Fe 0.895 0.895 0.789
Fe 0.298 0.298 0.597
Fe 0.702 0.702 0.403
Fe 0.105 0.105 0.211
```

***

Record 8
Density functional theory data (SCAN) for a crystal of FeRh2 relaxed with PBEsol. Values from VASP.

- energy relative to the elements (eV/atom) = -0.107

```
&SYSTEM
  ibrav = 0, nat = 12, ntyp = 2
/
ATOMIC_SPECIES
Fe 55.84 Fe.upf
Rh 102.91 Rh.upf
CELL_PARAMETERS angstrom
-0.421 0.704 -3.637
4.348 -2.765 -1.039
-4.317 -6.503 -0.759
ATOMIC_POSITIONS crystal
Fe 0.750 0.866 0.086
Fe 0.250 0.634 0.586
Fe 0.750 0.366 0.414
Fe 0.250 0.134 0.914
Rh 0.750 0.889 0.755
Rh 0.750 0.864 0.420
Rh 0.250 0.636 0.920
Rh 0.250 0.611 0.255
Rh 0.750 0.389 0.745
Rh 0.750 0.364 0.080
Rh 0.250 0.136 0.580
Rh 0.250 0.111 0.245
```

***

Record 9
Density functional theory data (SCAN) for a crystal of FeRh3 relaxed with PBEsol. Values from VASP.

- energy relative to the elements (eV/atom) = -0.105

```
&SYSTEM
  ibrav = 0, nat = 4, ntyp = 2
/
ATOMIC_SPECIES
Rh 102.91 Rh.upf
Fe 55.84 Fe.upf
CELL_PARAMETERS angstrom
-1.097 1.597 -1.820
-2.511 -3.478 -1.539
-2.321 2.146 3.282
ATOMIC_POSITIONS crystal
Rh 0.500 0.000 0.500
Rh 0.500 0.500 0.000
Rh 0.000 0.500 0.500
Fe 0.000 0.000 0.000
```

***

Record 10
Density functional theory data (SCAN) for a crystal of FeRh relaxed with PBEsol. Values from VASP.

- energy relative to the elements (eV/atom) = -0.057

```
&SYSTEM
  ibrav = 0, nat = 6, ntyp = 2
/
ATOMIC_SPECIES
Fe 55.84 Fe.upf
Rh 102.91 Rh.upf
CELL_PARAMETERS angstrom
2.609 0.000 -0.093
0.000 3.743 0.000
-1.560 0.000 7.677
ATOMIC_POSITIONS crystal
Fe 0.739 0.000 0.655
Fe 0.000 0.500 0.500
Fe 0.261 0.000 0.345
Rh 0.622 0.500 0.180
Rh 0.000 0.000 0.000
Rh 0.378 0.500 0.820
```

***

Record 11
Density functional theory data (SCAN) for a crystal of Fe4Rh relaxed with PBEsol. Values from VASP.

- ΔE to the lowest computed polymorph (eV/atom) = 0.004
- energy relative to the elements (eV/atom) = -0.152

```
&SYSTEM
  ibrav = 0, nat = 5, ntyp = 2
/
ATOMIC_SPECIES
Rh 102.91 Rh.upf
Fe 55.84 Fe.upf
CELL_PARAMETERS angstrom
-1.448 -2.078 1.281
-1.660 -2.883 -3.408
3.072 -3.527 0.897
ATOMIC_POSITIONS crystal
Rh 0.500 0.000 0.000
Fe 0.105 0.204 0.587
Fe 0.692 0.413 0.204
Fe 0.308 0.587 0.796
Fe 0.895 0.796 0.413
```

***

Record 12
Density functional theory data (SCAN) for a crystal of FeRh2 relaxed with PBEsol. Values from VASP.

- energy relative to the elements (eV/atom) = -0.041

```
&SYSTEM
  ibrav = 0, nat = 6, ntyp = 2
/
ATOMIC_SPECIES
Rh 102.91 Rh.upf
Fe 55.84 Fe.upf
CELL_PARAMETERS angstrom
-0.294 -2.605 0.279
1.238 -0.964 4.763
-5.541 -0.409 2.804
ATOMIC_POSITIONS crystal
Rh 0.640 0.243 0.476
Rh 0.890 0.380 0.840
Rh 0.110 0.620 0.160
Rh 0.360 0.757 0.524
Fe 0.624 0.913 0.838
Fe 0.376 0.087 0.162
```

***

Record 13
Density functional theory data (SCAN) for a crystal of Fe5Rh relaxed with PBEsol. Values from VASP.

- ΔE to the lowest computed polymorph (eV/atom) = 0.049
- energy relative to the elements (eV/atom) = -0.091

```
&SYSTEM
  ibrav = 0, nat = 6, ntyp = 2
/
ATOMIC_SPECIES
Fe 55.84 Fe.upf
Rh 102.91 Rh.upf
CELL_PARAMETERS angstrom
2.522 0.000 -0.001
0.000 4.001 0.000
-0.012 0.000 6.954
ATOMIC_POSITIONS crystal
Fe 0.856 0.000 0.826
Fe 0.170 0.500 0.661
Fe 0.500 0.000 0.500
Fe 0.830 0.500 0.339
Fe 0.144 0.000 0.174
Rh 0.500 0.500 0.000
```

***

Record 14
Density functional theory data (SCAN) for a crystal of FeRh relaxed with PBEsol. Values from VASP.

- energy relative to the elements (eV/atom) = -0.055

```
&SYSTEM
  ibrav = 0, nat = 6, ntyp = 2
/
ATOMIC_SPECIES
Fe 55.84 Fe.upf
Rh 102.91 Rh.upf
CELL_PARAMETERS angstrom
-1.170 0.896 2.179
-3.166 -0.103 -1.657
-1.054 -7.388 2.473
ATOMIC_POSITIONS crystal
Fe 0.000 0.000 0.997
Fe 0.500 0.500 0.837
Fe 0.500 0.500 0.502
Rh 0.000 0.000 0.672
Rh 0.000 0.000 0.337
Rh 0.500 0.500 0.155
```

***

Record 15
Density functional theory data (SCAN) for a crystal of FeRh relaxed with PBEsol. Values from VASP.

- energy relative to the elements (eV/atom) = -0.121

```
&SYSTEM
  ibrav = 0, nat = 6, ntyp = 2
/
ATOMIC_SPECIES
Fe 55.84 Fe.upf
Rh 102.91 Rh.upf
CELL_PARAMETERS angstrom
4.014 0.000 0.000
2.007 4.301 0.052
2.007 1.657 4.379
ATOMIC_POSITIONS crystal
Fe 0.314 0.530 0.843
Fe 0.000 0.000 0.000
Fe 0.686 0.470 0.157
Rh 0.354 0.980 0.313
Rh 0.000 0.500 0.500
Rh 0.646 0.020 0.687
```

***

Record 16
Density functional theory data (SCAN) for a crystal of Fe4Rh relaxed with PBEsol. Values from VASP.

- ΔE to the lowest computed polymorph (eV/atom) = 0.000
- energy relative to the elements (eV/atom) = -0.157

```
&SYSTEM
  ibrav = 0, nat = 5, ntyp = 2
/
ATOMIC_SPECIES
Rh 102.91 Rh.upf
Fe 55.84 Fe.upf
CELL_PARAMETERS angstrom
-1.867 -1.998 -0.818
1.663 -0.641 -2.230
3.589 -3.580 5.530
ATOMIC_POSITIONS crystal
Rh 0.000 0.000 0.000
Fe 0.393 0.393 0.786
Fe 0.798 0.798 0.596
Fe 0.202 0.202 0.404
Fe 0.607 0.607 0.214
```

***

Record 17
Density functional theory data (SCAN) for a crystal of FeRh2 relaxed with PBEsol. Values from VASP.

- energy relative to the elements (eV/atom) = -0.101

```
&SYSTEM
  ibrav = 0, nat = 6, ntyp = 2
/
ATOMIC_SPECIES
Fe 55.84 Fe.upf
Rh 102.91 Rh.upf
CELL_PARAMETERS angstrom
2.651 0.000 0.000
0.000 4.520 0.045
0.000 -0.220 6.413
ATOMIC_POSITIONS crystal
Fe 0.000 0.328 0.166
Fe 0.000 0.672 0.834
Rh 0.500 0.500 0.500
Rh 0.500 0.825 0.161
Rh 0.000 0.000 0.500
Rh 0.500 0.175 0.839
```

***

Record 18
Density functional theory data (SCAN) for a crystal of FeRh relaxed with PBEsol. Values from VASP.

- energy relative to the elements (eV/atom) = -0.079

```
&SYSTEM
  ibrav = 0, nat = 2, ntyp = 2
/
ATOMIC_SPECIES
Rh 102.91 Rh.upf
Fe 55.84 Fe.upf
CELL_PARAMETERS angstrom
2.621 0.000 0.000
1.310 2.270 0.000
1.310 0.757 4.179
ATOMIC_POSITIONS crystal
Rh 0.500 0.500 0.500
Fe 0.000 0.000 0.000
```

***

Record 19
Density functional theory data (SCAN) for a crystal of FeRh3 relaxed with PBEsol. Values from VASP.

- energy relative to the elements (eV/atom) = -0.068

```
&SYSTEM
  ibrav = 0, nat = 4, ntyp = 2
/
ATOMIC_SPECIES
Rh 102.91 Rh.upf
Fe 55.84 Fe.upf
CELL_PARAMETERS angstrom
-2.445 1.030 0.076
-0.727 -1.857 1.751
2.023 4.397 5.504
ATOMIC_POSITIONS crystal
Rh 0.000 0.000 0.500
Rh 0.500 0.500 0.240
Rh 0.500 0.500 0.760
Fe 0.000 0.000 0.000
```

***

Record 20
Density functional theory data (SCAN) for a crystal of FeRh2 relaxed with PBEsol. Values from VASP.

- energy relative to the elements (eV/atom) = 0.272

```
&SYSTEM
  ibrav = 0, nat = 3, ntyp = 2
/
ATOMIC_SPECIES
Fe 55.84 Fe.upf
Rh 102.91 Rh.upf
CELL_PARAMETERS angstrom
3.932 0.000 0.000
1.966 3.405 0.000
1.966 1.135 3.211
ATOMIC_POSITIONS crystal
Fe 0.000 0.000 0.000
Rh 0.750 0.750 0.750
Rh 0.250 0.250 0.250
```